Entry from Alexandria: a relaxed structure of Ac6PbSe8 (GGA-PBE).

The total energy is -329.14 eV/cell. The total magnetic moment comes out at 0.00 μB per cell.

It has space group Fm-3m (No. 225), with a = 12.589 Å, b = 12.589 Å, c = 12.589 Å, α = 90.00°, β = 90.00° and γ = 90.00°. Symmetry generates all atoms from Ac at (0.000, 0.250, 0.250), Pb at (0.000, 0.000, 0.000), Se at (0.000, 0.000, 0.247) and Se at (0.250, 0.250, 0.250).

Entry from Alexandria: a relaxed structure of Mg2ZnSeF (GGA-PBE).

The total energy is -12.34 eV/cell. The total magnetic moment comes out at 0.00 μB per cell.

It has space group P4/mmm (No. 123), with a = 5.139 Å, b = 5.139 Å, c = 4.103 Å, α = 90.00°, β = 90.00° and γ = 90.00°. Symmetry generates all atoms from Mg at (0.000, 0.500, 0.000), Zn at (0.000, 0.000, 0.000), Se at (0.500, 0.500, 0.500) and F at (0.000, 0.000, 0.500).

Entry from Alexandria: a relaxed structure of La3Pr2Ho2 (GGA-PBE).

The calculation puts the energy of formation at 21 meV/atom. The total magnetic moment comes out at 0.00 μB per cell. As for the offset from the most stable computed form: 0 meV per atom.

It has space group P-1 (No. 2), with a = 3.684 Å, b = 6.357 Å, c = 10.987 Å, α = 84.20°, β = 89.97° and γ = 73.16°. Symmetry generates all atoms from La at (0.000, 0.000, 0.000), La at (0.144, 0.714, 0.570), Pr at (0.285, 0.431, 0.144) and Ho at (0.429, 0.143, 0.714).

Entry from Alexandria: a relaxed structure of CuAsF7 (GGA-PBE).

The total energy is -155.24 eV/cell. The total magnetic moment comes out at 4.00 μB per cell.

It has space group Imma (No. 74), with a = 6.974 Å, b = 10.952 Å, c = 6.972 Å, α = 90.00°, β = 90.00° and γ = 90.00°. Symmetry generates all atoms from Cu at (0.250, 0.250, 0.250), As at (0.000, 0.000, 0.000), F at (0.000, 0.030, 0.755), F at (0.000, 0.250, 0.347) and F at (0.183, 0.114, 0.033).

Entry from Alexandria: a relaxed structure of Mg14ZnPb (GGA-PBE).

The calculation puts the energy of formation at 0 meV/atom. The total magnetic moment comes out at 0.00 μB per cell.

It has space group Cmmm (No. 65), with a = 9.192 Å, b = 9.199 Å, c = 8.601 Å, α = 90.00°, β = 90.00° and γ = 90.00°. Symmetry generates all atoms from Mg at (0.000, 0.000, 0.000), Mg at (0.000, 0.241, 0.252), Mg at (0.000, 0.500, 0.000), Mg at (0.241, 0.000, 0.252), Mg at (0.250, 0.250, 0.000), Mg at (0.250, 0.250, 0.500), Zn at (0.000, 0.000, 0.500) and Pb at (0.000, 0.500, 0.500).

Entry from Alexandria: a relaxed structure of Li2CuNi (GGA-PBE).

The calculation puts the energy of formation at 232 meV/atom. The total magnetic moment comes out at 0.00 μB per cell. As for the offset from the most stable computed form: 245 meV per atom.

It has space group I-42d (No. 122), with a = 6.530 Å, b = 6.530 Å, c = 4.846 Å, α = 90.00°, β = 90.00° and γ = 90.00°. Symmetry generates all atoms from Li at (0.247, 0.750, 0.125), Cu at (0.000, 0.000, 0.500) and Ni at (0.000, 0.000, 0.000).

Entry from Alexandria: a relaxed structure of K2Rb5Au3 (GGA-PBE).

The calculation puts the energy of formation at -150 meV/atom. The total magnetic moment comes out at 0.00 μB per cell.

It has space group Ibam (No. 72), with a = 10.763 Å, b = 22.059 Å, c = 9.294 Å, α = 90.00°, β = 90.00° and γ = 90.00°. Symmetry generates all atoms from K at (0.162, 0.093, 0.000), Rb at (0.000, 0.274, 0.250), Rb at (0.000, 0.500, 0.250), Rb at (0.203, 0.097, 0.500), Au at (0.000, 0.000, 0.250) and Au at (0.031, 0.388, 0.500).

Entry from Alexandria: a relaxed structure of Zn2CdAu (GGA-PBE).

The calculation puts the energy of formation at -73 meV/atom. The total magnetic moment comes out at 0.00 μB per cell. As for the offset from the most stable computed form: 22 meV per atom.

It has space group Cm (No. 8), with a = 8.966 Å, b = 3.956 Å, c = 4.308 Å, α = 90.00°, β = 113.68° and γ = 90.00°. Symmetry generates all atoms from Zn at (0.000, 0.000, 0.000), Zn at (0.250, 0.000, 0.742), Cd at (0.495, 0.000, 0.491) and Au at (0.239, 0.500, 0.207).

Entry from Alexandria: a relaxed structure of PRh2Se (GGA-PBE).

The total energy is -49.99 eV/cell. The total magnetic moment comes out at 0.00 μB per cell.

It has space group Cm (No. 8), with a = 7.449 Å, b = 3.378 Å, c = 5.440 Å, α = 90.00°, β = 98.54° and γ = 90.00°. Symmetry generates all atoms from P at (0.000, 0.000, 0.000), Rh at (0.051, 0.500, 0.733), Rh at (0.307, 0.000, 0.084) and Se at (0.315, 0.500, 0.469).

Entry from Alexandria: a relaxed structure of ZnGaO2 (GGA-PBE).

The total magnetic moment comes out at 0.00 μB per cell. As for the offset from the most stable computed form: 52 meV per atom.

It has space group R3m (No. 160, hexagonal axes), with a = 3.3767 Å, b = 3.3767 Å, c = 16.0097 Å, α = 90.00°, β = 90.00° and γ = 120.00°. Symmetry generates all atoms from Zn at (0.0000, 0.0000, 0.0000), Ga at (0.0000, 0.0000, 0.5012), O at (0.0000, 0.0000, 0.1314) and O at (0.0000, 0.0000, 0.6229).